# 1
VASP calculation (PBE-GGA) on a geometry-optimized LiLaDyCu structure.

Calculated values
Fermi-level density of states: 22.94 states/eV per cell
crystal system: cubic
E: -3.874 eV/atom
calculated formation energy: 0.01 eV/atom

Cell: 7.310 7.310 7.310 Å, 90.00 90.00 90.00°
Space group F-43m (No. 216)
Unique sites:
Li  0.000  0.000  0.000 [4 per cell]
La  0.250  0.250  0.250 [4 per cell]
Dy  0.250  0.250  0.750 [4 per cell]
Cu  0.000  0.000  0.500 [4 per cell]



# 2
VASP calculation (PBE-GGA) on a geometry-optimized LaDyCuNi structure.

Calculated values
Fermi-level density of states: 7.23 states/eV per cell
crystal system: orthorhombic
E: -5.145 eV/atom
offset from the most stable computed form: 0.0 kJ/mol of atoms
calculated formation energy: -0.29 eV/atom

Cell: 4.418 3.789 10.740 Å, 90.00 90.00 90.00°
Space group Amm2 (No. 38)
Unique sites:
La  0.000  0.000  0.000 [2 per cell]
Dy  0.500  0.000  0.273 [2 per cell]
Cu  0.000  0.000  0.713 [2 per cell]
Ni  0.500  0.000  0.576 [2 per cell]



# 3
VASP calculation (PBE-GGA) on a geometry-optimized LaDyCuNi structure.

Calculated values
Fermi-level density of states: 9.89 states/eV per cell
crystal system: cubic
E: -5.088 eV/atom
offset from the most stable computed form: 5.4 kJ/mol of atoms
calculated formation energy: -0.24 eV/atom

Cell: 7.036 7.036 7.036 Å, 90.00 90.00 90.00°
Space group F-43m (No. 216)
Unique sites:
La  0.000  0.000  0.000 [4 per cell]
Dy  0.000  0.000  0.500 [4 per cell]
Cu  0.250  0.250  0.750 [4 per cell]
Ni  0.250  0.250  0.250 [4 per cell]